## CdReS2N (PBE)

Data for an optimized crystal structure of CdReS2N.

Output
Energy above the lowest structure with this stoichiometry = 2075 meV/atom
Calculated volume = 18.49 Å³/atom
Space-group type = P4/mmm
Uncorrected formation energy = 11.16 eV per formula unit

a = 4.855 Å, b = 4.855 Å, c = 3.922 Å
α = 90.00°, β = 90.00°, γ = 90.00°
Atoms (fractional coordinates):
Cd 0.000 0.000 0.000
N 0.000 0.000 0.500
S 0.000 0.500 0.000
Re 0.500 0.500 0.500
S 0.500 0.000 0.000